# 1
First-principles (meta-GGA SCAN) data for TlRe2Os at its PBEsol-relaxed geometry, as listed in Alexandria via LeMat-Bulk.

a = 6.337 Å, b = 6.337 Å, c = 6.337 Å
α = 90.00°, β = 90.00°, γ = 90.00°
Space group Fm-3m (No. 225)
Unique sites:
Tl: 0.000 0.000 0.000
Re: 0.250 0.250 0.250
Os: 0.000 0.000 0.500

Results
calculated formation energy	4.74	eV/f.u.
D(E_F)	5.2	states/eV/f.u.

---

# 2
First-principles (meta-GGA SCAN) data for YHg at its PBEsol-relaxed geometry, as listed in Alexandria via LeMat-Bulk.

a = 3.796 Å, b = 11.339 Å, c = 4.696 Å
α = 90.00°, β = 90.00°, γ = 90.00°
Space group Cmcm (No. 63)
Unique sites:
Y: 0.000 0.144 0.250
Hg: 0.000 0.414 0.250

Results
calculated formation energy	-1.52	eV/f.u.
D(E_F)	1.1	states/eV/f.u.

---

# 3
First-principles (meta-GGA SCAN) data for Sr5B10Rh14 at its PBEsol-relaxed geometry, as listed in Alexandria via LeMat-Bulk.

a = 5.565 Å, b = 9.809 Å, c = 28.640 Å
α = 90.00°, β = 90.00°, γ = 90.00°
Space group Fmmm (No. 69)
Unique sites:
Sr: 0.000 0.000 0.000
Sr: 0.000 0.000 0.104
Sr: 0.000 0.000 0.211
B: 0.000 0.164 0.298
B: 0.000 0.165 0.399
B: 0.000 0.166 0.500
Rh: 0.000 0.000 0.348
Rh: 0.000 0.000 0.449
Rh: 0.250 0.250 0.051
Rh: 0.250 0.250 0.152
Rh: 0.250 0.250 0.250

Results
calculated formation energy	-19.21	eV/f.u.
D(E_F)	6.0	states/eV/f.u.

---

# 4
First-principles (meta-GGA SCAN) data for Ba2NbGaCl at its PBEsol-relaxed geometry, as listed in Alexandria via LeMat-Bulk.

a = 6.295 Å, b = 6.295 Å, c = 5.033 Å
α = 90.00°, β = 90.00°, γ = 90.00°
Space group P4/mmm (No. 123)
Unique sites:
Ba: 0.000 0.500 0.000
Nb: 0.000 0.000 0.500
Ga: 0.500 0.500 0.000
Cl: 0.500 0.500 0.500

Results
D(E_F)	3.3	states/eV/f.u.
ΔE_f (raw)	0.430	eV/atom

---

# 5
First-principles (meta-GGA SCAN) data for InCuOs2 at its PBEsol-relaxed geometry, as listed in Alexandria via LeMat-Bulk.

a = 4.047 Å, b = 4.047 Å, c = 7.190 Å
α = 90.00°, β = 90.00°, γ = 90.00°
Space group I-4m2 (No. 119)
Unique sites:
In: 0.000 0.000 0.000
Cu: 0.000 0.500 0.750
Os: 0.000 0.000 0.500
Os: 0.000 0.500 0.250

Results
calculated formation energy	2.06	eV/f.u.
D(E_F)	2.9	states/eV/f.u.

---

# 6
First-principles (meta-GGA SCAN) data for GdSClO4 at its PBEsol-relaxed geometry, as listed in Alexandria via LeMat-Bulk.

a = 9.395 Å, b = 6.533 Å, c = 6.785 Å
α = 90.00°, β = 104.76°, γ = 90.00°
Space group P2_1/c (No. 14)
Unique sites:
Gd: 0.235 0.100 0.175
S: 0.357 0.560 0.210
Cl: 0.029 0.139 0.810
O: 0.277 0.071 0.532
O: 0.281 0.743 0.699
O: 0.344 0.061 0.890
O: 0.491 0.089 0.296

Results
D(E_F)	0.0	states/eV/f.u.
ΔE_f (raw)	-2.411	eV/atom

---

# 7
First-principles (meta-GGA SCAN) data for LaMnOs2 at its PBEsol-relaxed geometry, as listed in Alexandria via LeMat-Bulk.

a = 4.370 Å, b = 2.911 Å, c = 10.902 Å
α = 90.00°, β = 90.00°, γ = 90.00°
Space group Amm2 (No. 38)
Unique sites:
La: 0.000 0.000 0.000
Mn: 0.500 0.000 0.631
Os: 0.000 0.000 0.749
Os: 0.500 0.000 0.316

Results
calculated formation energy	1.22	eV/f.u.
D(E_F)	3.1	states/eV/f.u.

---

# 8
First-principles (meta-GGA SCAN) data for KZrCd at its PBEsol-relaxed geometry, as listed in Alexandria via LeMat-Bulk.

a = 5.4844 Å, b = 5.4844 Å, c = 2.8325 Å
α = 90.00°, β = 90.00°, γ = 120.00°
Space group P-6m2 (No. 187)
Unique sites:
K: 0.0000 0.0000 0.0000
Zr: 0.6667 0.3333 0.0000
Cd: 0.3333 0.6667 0.5000

Results
calculated formation energy	1.62	eV/f.u.
D(E_F)	1.8	states/eV/f.u.

---

# 9
First-principles (meta-GGA SCAN) data for TlInBr2 at its PBEsol-relaxed geometry, as listed in Alexandria via LeMat-Bulk.

a = 4.6048 Å, b = 4.6048 Å, c = 22.4810 Å
α = 90.00°, β = 90.00°, γ = 120.00°
Space group R-3m (No. 166, hexagonal axes)
Unique sites:
Tl: 0.0000 0.0000 0.0000
In: 0.0000 0.0000 0.5000
Br: 0.0000 0.0000 0.2489

Results
D(E_F)	0.0	states/eV/f.u.
ΔE_f (raw)	-0.769	eV/atom

---

# 10
First-principles (meta-GGA SCAN) data for Tl2AgP at its PBEsol-relaxed geometry, as listed in Alexandria via LeMat-Bulk.

a = 3.301 Å, b = 4.830 Å, c = 11.363 Å
α = 90.00°, β = 90.00°, γ = 90.00°
Space group Imm2 (No. 44)
Unique sites:
Tl: 0.000 0.000 0.000
Tl: 0.000 0.500 0.192
Ag: 0.000 0.000 0.429
P: 0.000 0.500 0.763

Results
calculated formation energy	1.13	eV/f.u.
D(E_F)	1.5	states/eV/f.u.

---

# 11
First-principles (meta-GGA SCAN) data for SrCrRe2 at its PBEsol-relaxed geometry, as listed in Alexandria via LeMat-Bulk.

a = 6.419 Å, b = 6.419 Å, c = 6.419 Å
α = 90.00°, β = 90.00°, γ = 90.00°
Space group F-43m (No. 216)
Unique sites:
Sr: 0.000 0.000 0.000
Cr: 0.250 0.250 0.250
Re: 0.000 0.000 0.500
Re: 0.250 0.250 0.750

Results
calculated formation energy	4.17	eV/f.u.
D(E_F)	3.1	states/eV/f.u.

---

# 12
First-principles (meta-GGA SCAN) data for BaSc2Si at its PBEsol-relaxed geometry, as listed in Alexandria via LeMat-Bulk.

a = 3.893 Å, b = 4.518 Å, c = 11.614 Å
α = 90.00°, β = 90.00°, γ = 90.00°
Space group Imm2 (No. 44)
Unique sites:
Ba: 0.000 0.000 0.000
Sc: 0.000 0.000 0.604
Sc: 0.000 0.500 0.789
Si: 0.000 0.500 0.258

Results
D(E_F)	1.8	states/eV/f.u.
ΔE_f (raw)	0.002	eV/atom

---

no.,theoretical density (g/cm³),spin magnetization (μB per formula unit),uncorrected energy (eV per atom)
1,20.0,0.004,-70.425
2,9.5,0.000,-48.766
3,8.4,0.000,-23.368
4,3.9,5.138,-26.880
5,15.8,0.000,-47.572
6,4.8,6.993,-16.889
7,13.8,3.692,-50.974
8,5.5,0.000,-22.608
9,5.8,0.000,-36.935
10,10.0,0.000,-46.337
11,12.9,2.164,-44.672
12,4.2,0.000,-19.508